A geometry-optimized In2Sb2Ir structure, computed with PBEsol.

```
In2Sb2Ir
1.0
-1.101 3.019 1.937
1.109 -1.641 3.187
7.835 2.776 -3.507
In Sb Ir
2 2 1
direct
0.250 0.750 0.500 In
0.750 0.250 0.500 In
0.582 0.582 0.163 Sb
0.418 0.418 0.837 Sb
0.000 0.000 0.000 Ir
```

Values from the calculation:
Space-group type: No. 139
Uncorrected formation energy, eV per formula unit: 2.6